CoSbMo2 (GGA-PBEsol, relaxed); formation energy from raw total energies = 0.308 eV per atom
1.0
-1.899 -0.105 2.257
2.732 -1.880 2.211
1.771 4.577 1.704
Sb Mo Co
1 2 1
Cartesian
0.416 -0.993 2.234
1.284 3.318 1.235
0.487 1.259 0.469
1.302 1.296 3.086

=====

HgOF3 (GGA-PBEsol, relaxed); formation energy from raw total energies = -0.222 eV per atom
1.0
-0.035 -3.065 -3.039
-1.618 -2.808 2.850
-4.001 1.163 -1.126
F Hg O
3 1 1
Cartesian
-2.810 -0.823 0.862
-2.018 -0.951 -2.083
-0.827 -2.936 -0.094
-2.827 -2.355 -0.657
0.000 0.000 0.000

=====

Ca2CdPd2 (GGA-PBEsol, relaxed); calculated formation energy = -3.18 eV per formula unit
1.0
-2.616 -2.155 -2.884
-3.821 -3.261 2.468
-5.299 1.802 0.025
Ca Pd Cd
2 2 1
Cartesian
-8.489 -2.744 -0.552
-3.247 -0.870 0.162
-5.529 -2.970 0.366
-6.207 -0.644 -0.756
0.000 0.000 0.000

=====

How do the records compare in calculated volume? In the order shown, they have 15.278 16.080 21.907 A^3/atom.
How do the records compare in total magnetization? In the order shown, they have 0.0 2.3 0.0 μB per formula unit.